Record 1
Sm3Br | PBE | relaxed

abc: 3.6353 3.5176 10.0747
angles: 90.00 90.00 90.00
Positions (direct):
1 Sm 0.5000 0.5000 0.1646
2 Sm 0.0000 0.5000 0.4681
3 Sm 0.5000 0.0000 0.7201
4 Br 0.0000 0.0000 0.9806

Summary:
The uncorrected formation energy is -0.38 eV/atom. Its space-group type is No. 25.

=====

Record 2
FeTeOsCl2 | PBE | relaxed

abc: 4.6128 5.6745 4.6128
angles: 90.00 90.00 90.00
Positions (direct):
1 Os 0.0000 0.0000 0.0000
2 Te 0.0000 0.5000 0.0000
3 Fe 0.5000 0.5000 0.5000
4 Cl 0.5000 0.0000 0.0000
5 Cl 0.0000 0.0000 0.5000

Summary:
The uncorrected formation energy is 0.77 eV/atom. Its space-group type is No. 123.

=====

Record 3
Sc4BiS2 | PBE | relaxed

abc: 3.8611 6.4045 12.4790
angles: 90.00 90.00 107.54
Positions (direct):
1 Sc 0.5000 0.0000 0.5000
2 Sc 0.2409 0.4817 0.6141
3 Sc 0.7591 0.5183 0.3859
4 Sc 0.5000 0.0000 0.0000
5 Sc 0.9242 0.8484 0.7500
6 Sc 0.0758 0.1516 0.2500
7 Sc 0.7591 0.5183 0.1141
8 Sc 0.2409 0.4817 0.8859
9 Bi 0.6079 0.2158 0.7500
10 Bi 0.3921 0.7842 0.2500
11 S 0.8680 0.7360 0.9429
12 S 0.8680 0.7360 0.5571
13 S 0.1320 0.2640 0.4429
14 S 0.1320 0.2640 0.0571

Summary:
The uncorrected formation energy is -1.32 eV/atom. Its space-group type is No. 63.